Ba2ZnNiO4: relaxed, PBE+U.

Calculated values
energy: -5.09 eV/atom
total magnetic moment: 0.25 μB/atom

a b c (Å): 6.0169 6.0169 7.1262
angles (deg): 90.00 90.00 90.00
Space group I-4 (No. 82)
Unique sites:
Ba 0.0000 0.0000 0.0000 x2
Ba 0.0000 0.5000 0.2500 x2
Zn 0.0000 0.0000 0.5000 x2
Ni 0.0000 0.5000 0.7500 x2
O 0.1626 0.7536 0.6348 x8